No. 1
The following is a PBE-GGA calculation of a relaxed OsSe2NO crystal, from Alexandria via LeMat-Bulk.

Lattice parameters (Å, degrees): 4.219 4.219 3.785 90.00 90.00 90.00
Space group P4/mmm (No. 123)
Asymmetric unit:
Os (0.000, 0.000, 0.000)
Se (0.000, 0.500, 0.500)
N (0.500, 0.500, 0.000)
O (0.500, 0.500, 0.500)

Properties
Its crystal system is tetragonal. The total energy is -4.64 eV/atom.

---

No. 2
The following is a PBE-GGA calculation of a relaxed Sm5Er4Mg2 crystal, from Alexandria via LeMat-Bulk.

Lattice parameters (Å, degrees): 22.327 3.517 8.752 90.00 93.92 90.00
Space group C2/m (No. 12)
Asymmetric unit:
Sm (0.000, 0.000, 0.000)
Sm (0.134, 0.500, 0.096)
Sm (0.183, 0.500, 0.476)
Er (0.074, 0.500, 0.720)
Er (0.210, 0.000, 0.820)
Mg (0.054, 0.000, 0.380)

Properties
Its crystal system is monoclinic. As for the formation energy: 56 meV/atom.

---

No. 3
The following is a PBE-GGA calculation of a relaxed RbAgBr3 crystal, from Alexandria via LeMat-Bulk.

Lattice parameters (Å, degrees): 14.296 14.296 14.296 90.00 90.00 90.00
Space group Fd-3m (No. 227, origin choice 2)
Asymmetric unit:
Rb (0.000, 0.000, 0.000)
Ag (0.000, 0.000, 0.500)
Br (0.077, 0.375, 0.875)

Properties
Its crystal system is cubic. The total energy is -2.54 eV/atom.

---

No. 4
The following is a PBE-GGA calculation of a relaxed NaTb5Tl6 crystal, from Alexandria via LeMat-Bulk.

Lattice parameters (Å, degrees): 5.357 16.157 7.598 90.00 90.00 90.00
Space group Cmmm (No. 65)
Asymmetric unit:
Na (0.000, 0.000, 0.000)
Tb (0.000, 0.000, 0.500)
Tb (0.000, 0.335, 0.500)
Tb (0.000, 0.337, 0.000)
Tl (0.000, 0.166, 0.248)
Tl (0.000, 0.500, 0.245)

Properties
Its crystal system is orthorhombic. As for the formation energy: -315 meV/atom.

---

No. 5
The following is a PBE-GGA calculation of a relaxed AcSmPt2 crystal, from Alexandria via LeMat-Bulk.

Lattice parameters (Å, degrees): 7.361 7.361 7.361 90.00 90.00 90.00
Space group Fm-3m (No. 225)
Asymmetric unit:
Ac (0.000, 0.000, 0.000)
Sm (0.000, 0.000, 0.500)
Pt (0.250, 0.250, 0.250)

Properties
Its crystal system is cubic. As for the formation energy: -1011 meV/atom.

---

No. 6
The following is a PBE-GGA calculation of a relaxed Pm2YCd crystal, from Alexandria via LeMat-Bulk.

Lattice parameters (Å, degrees): 3.6531 3.6531 32.9758 90.00 90.00 120.00
Space group R3m (No. 160, hexagonal axes)
Asymmetric unit:
Pm (0.0000, 0.0000, 0.0000)
Pm (0.0000, 0.0000, 0.1765)
Y (0.0000, 0.0000, 0.4214)
Cd (0.0000, 0.0000, 0.5882)

Properties
Its crystal system is trigonal. As for the formation energy: -53 meV/atom.

---

No. 7
The following is a PBE-GGA calculation of a relaxed YP2Pb2 crystal, from Alexandria via LeMat-Bulk.

Lattice parameters (Å, degrees): 4.0814 4.0814 9.3034 90.00 90.00 120.00
Space group P-3m1 (No. 164)
Asymmetric unit:
Y (0.0000, 0.0000, 0.0000)
P (0.3333, 0.6667, 0.1713)
Pb (0.3333, 0.6667, 0.6515)

Properties
Its crystal system is trigonal. As for the formation energy: -502 meV/atom.

---

No. 8
The following is a PBE-GGA calculation of a relaxed AcSi2H8 crystal, from Alexandria via LeMat-Bulk.

Lattice parameters (Å, degrees): 11.503 4.169 4.450 90.00 107.45 90.00
Space group C2/m (No. 12)
Asymmetric unit:
Ac (0.000, 0.000, 0.000)
Si (0.214, 0.000, 0.657)
H (0.100, 0.250, 0.577)
H (0.128, 0.500, 0.163)
H (0.210, 0.000, 0.000)

Properties
Its crystal system is monoclinic. The total energy is -3.75 eV/atom.